No. 1
{"formula": "KRe2Cl", "functional": "PBE", "state": "relaxed", "lattice_angstrom": [[4.712, 0.000, 0.000], [0.000, 4.712, 0.000], [2.356, 2.356, 8.652]], "species": ["Re", "Re", "Re", "Re", "K", "K", "Cl", "Cl"], "fractional_positions": [[0.313, 0.125, 0.250], [0.437, 0.625, 0.250], [0.375, 0.687, 0.750], [0.875, 0.563, 0.750], [0.000, 0.000, 0.000], [0.750, 0.250, 0.500], [0.500, 0.500, 0.000], [0.250, 0.750, 0.500]], "space_group": "I-42d, No. 122", "e_tot_ev_per_atom": -5.49, "magnetic_moment_mub_per_fu": 0.00, "raw_formation_energy_ev_per_atom": 1.473}

---

No. 2
{"formula": "KRe2Cl", "functional": "PBE", "state": "relaxed", "lattice_angstrom": [[-7.114, -3.061, 0.832], [7.424, -1.206, 2.025], [-0.353, 1.398, 2.126]], "species": ["Re", "Re", "K", "Cl"], "fractional_positions": [[0.000, 0.000, 0.000], [0.500, 0.500, 0.000], [0.000, 0.500, 0.500], [0.500, 0.000, 0.500]], "space_group": "Cmmm, No. 65", "e_tot_ev_per_atom": -5.78, "magnetic_moment_mub_per_fu": 0.37, "raw_formation_energy_ev_per_atom": 1.180}

---

No. 3
{"formula": "KRe2Cl", "functional": "PBE", "state": "relaxed", "lattice_angstrom": [[-2.185, -0.509, 4.075], [-3.080, 3.192, 1.402], [-4.536, -1.029, 0.095]], "species": ["Re", "Re", "K", "Cl"], "fractional_positions": [[0.250, 0.250, 0.250], [0.750, 0.750, 0.750], [0.500, 0.500, 0.500], [0.000, 0.000, 0.000]], "space_group": "Fm-3m, No. 225", "e_tot_ev_per_atom": -4.19, "magnetic_moment_mub_per_fu": 0.00, "raw_formation_energy_ev_per_atom": 2.766}